Compound: CrCuIO2
Source: Alexandria via LeMat-Bulk
Functional: PBE with a Hubbard U
Structure: relaxed

Calculated values
E above lowest polymorph = 0.660 eV/atom
Final energy = -22.40 eV/cell
Crystal system = tetragonal

a b c (Å): 3.8614 3.8614 6.1096
angles (deg): 90.00 90.00 90.00
Space group P4/mmm (No. 123)
Symmetry-distinct sites (fractional):
Cr  0.0000  0.0000  0.0000 x1
Cu  0.5000  0.5000  0.5000 x1
I  0.5000  0.5000  0.0000 x1
O  0.0000  0.5000  0.5000 x2